*one*
# SrRe2Os | Alexandria | PBE-GGA | optimized geometry
# - total magnetic moment (μB/cell) = 0.00
data_SrRe2Os
_chemical_formula_sum 'Sr3 Re6 Os3'
_cell_length_a 2.8531
_cell_length_b 2.8531
_cell_length_c 29.9751
_cell_angle_alpha 90.00
_cell_angle_beta 90.00
_cell_angle_gamma 120.00
_space_group_name_H-M_alt 'R -3 m'
_space_group_IT_number 166
_space_group_name_Hall '-R 3 2"'
loop_
_atom_site_label
_atom_site_type_symbol
_atom_site_fract_x
_atom_site_fract_y
_atom_site_fract_z
Sr1 Sr 0.0000 0.0000 0.0000
Re1 Re 0.0000 0.0000 0.2374
Os1 Os 0.0000 0.0000 0.5000

***

*two*
# SrRe2Os | Alexandria | PBE-GGA | optimized geometry
# - total magnetic moment (μB/cell) = 0.00
data_SrRe2Os
_chemical_formula_sum 'Sr4 Re8 Os4'
_cell_length_a 6.497
_cell_length_b 6.497
_cell_length_c 6.497
_cell_angle_alpha 90.00
_cell_angle_beta 90.00
_cell_angle_gamma 90.00
_space_group_name_H-M_alt 'F m -3 m'
_space_group_IT_number 225
_space_group_name_Hall '-F 4 2 3'
loop_
_atom_site_label
_atom_site_type_symbol
_atom_site_fract_x
_atom_site_fract_y
_atom_site_fract_z
Sr1 Sr 0.000 0.000 0.000
Re1 Re 0.250 0.250 0.250
Os1 Os 0.000 0.000 0.500

***

Pick *one*: it beats the second-best structure by 356 meV per atom.

***

*one*
# SrRe2Os | Alexandria | PBE-GGA | optimized geometry
# - total magnetic moment (μB/cell) = 0.00
data_SrRe2Os
_chemical_formula_sum 'Sr2 Re4 Os2'
_cell_length_a 9.823
_cell_length_b 3.065
_cell_length_c 5.661
_cell_angle_alpha 90.00
_cell_angle_beta 104.13
_cell_angle_gamma 90.00
_space_group_name_H-M_alt 'C 1 2/m 1'
_space_group_IT_number 12
_space_group_name_Hall '-C 2y'
loop_
_atom_site_label
_atom_site_type_symbol
_atom_site_fract_x
_atom_site_fract_y
_atom_site_fract_z
Sr1 Sr 0.000 0.000 0.000
Re1 Re 0.217 0.000 0.648
Os1 Os 0.000 0.500 0.500

***

*two*
# SrRe2Os | Alexandria | PBE-GGA | optimized geometry
# - total magnetic moment (μB/cell) = 0.00
data_SrRe2Os
_chemical_formula_sum 'Sr2 Re4 Os2'
_cell_length_a 9.279
_cell_length_b 2.986
_cell_length_c 6.153
_cell_angle_alpha 90.00
_cell_angle_beta 102.47
_cell_angle_gamma 90.00
_space_group_name_H-M_alt 'C 1 m 1'
_space_group_IT_number 8
_space_group_name_Hall 'C -2y'
loop_
_atom_site_label
_atom_site_type_symbol
_atom_site_fract_x
_atom_site_fract_y
_atom_site_fract_z
Sr1 Sr 0.000 0.000 0.000
Re1 Re 0.215 0.000 0.640
Re2 Re 0.495 0.000 0.499
Os1 Os 0.274 0.500 0.333

***

Pick *two*: it beats the second-best structure by 48 meV per atom.